The following is a PBE-GGA calculation of Pr4BI3Cl2 after structural relaxation, from the Open Quantum Materials Database.

Structure (POSCAR):
```
Pr4BI3Cl2
1.0
9.6131 -2.0826 0.0000
9.6131 2.0826 0.0000
-1.8019 0.0000 8.7577
I Cl Pr B
3 2 4 1
Direct
0.5000 0.5000 0.5000
0.1738 0.1738 0.8190
0.8262 0.8262 0.1810
0.8478 0.8478 0.7021
0.1522 0.1522 0.2979
0.6403 0.6403 0.0742
0.9991 0.9991 0.2035
0.0009 0.0009 0.7965
0.3597 0.3597 0.9258
0.5000 0.5000 0.0000
```

## Properties
Total energy in eV per cell: -47.389